No. 1
DFT (PBEsol) results for a geometry-optimized Zr2Al8Ni structure.

Cell: 4.090 4.090 10.712 Å, 90.00 90.00 90.00°
Positions (direct):
Al 0.000 0.500 0.122
Al 0.500 0.500 0.693
Al 0.500 0.500 0.307
Al 0.000 0.500 0.500
Al 0.500 0.000 0.500
Al 0.500 0.000 0.878
Al 0.500 0.000 0.122
Al 0.000 0.500 0.878
Ni 0.000 0.000 0.000
Zr 0.000 0.000 0.686
Zr 0.000 0.000 0.314

Results
calculated total energy: -62.4 eV per cell
symmetry: P4/mmm

No. 2
DFT (PBEsol) results for a geometry-optimized Zr2Al3Ni structure.

Cell: 5.086 5.086 5.086 Å, 62.21 62.21 62.21°
Positions (direct):
Al 0.000 0.500 0.000
Al 0.000 0.000 0.500
Al 0.500 0.000 0.000
Ni 0.000 0.000 0.000
Zr 0.374 0.374 0.374
Zr 0.626 0.626 0.626

Results
calculated total energy: -40.1 eV per cell
symmetry: R-3m

No. 3
DFT (PBEsol) results for a geometry-optimized AlO structure.

Cell: 3.134 3.134 3.134 Å, 60.00 60.00 60.00°
Positions (direct):
Al 0.000 0.000 0.000
O 0.500 0.500 0.500

Results
formation energy without anion corrections: -1.2518 eV/atom
symmetry: Fm-3m